Record 1
DFT (PBE) results for an optimized crystal structure of MnCr2SbI.

The value obtained for the volume is 32.3 Å³ per atom. The value obtained for the total magnetization is 13.84 μB per cell. The formation energy without anion corrections comes out at 7.88 eV per formula unit. For the total energy, the calculation gives -5.241 eV/atom.

The space group is P4/mmm (No. 123) and the conventional cell measures 5.0995, 5.0995 and 6.2186 Å, with angles of 90.00, 90.00 and 90.00 degrees. The inequivalent atoms are Mn at (0.0000, 0.0000, 0.0000), Cr at (0.0000, 0.5000, 0.5000), Sb at (0.5000, 0.5000, 0.0000) and I at (0.5000, 0.5000, 0.5000).

=====

Record 2
DFT (PBE) results for an optimized crystal structure of MnCrSb2I.

The value obtained for the volume is 29.4 Å³ per atom. The value obtained for the total magnetization is 6.99 μB per cell. The excess energy over the best structure of this formula in the dataset comes out at 0.13 eV per formula unit. The formation energy without anion corrections comes out at 3.50 eV per formula unit. For the total energy, the calculation gives -5.017 eV/atom.

The space group is P4/mmm (No. 123) and the conventional cell measures 5.0738, 5.0738 and 5.7046 Å, with angles of 90.00, 90.00 and 90.00 degrees. The inequivalent atoms are Mn at (0.0000, 0.0000, 0.0000), Cr at (0.5000, 0.5000, 0.5000), Sb at (0.0000, 0.5000, 0.5000) and I at (0.5000, 0.5000, 0.0000).

=====

Record 3
DFT (PBE) results for an optimized crystal structure of MnCrSb2I.

The value obtained for the volume is 29.1 Å³ per atom. The value obtained for the total magnetization is 7.40 μB per cell. The excess energy over the best structure of this formula in the dataset comes out at 0.00 eV per formula unit. The formation energy without anion corrections comes out at 3.37 eV per formula unit. For the total energy, the calculation gives -5.043 eV/atom.

The space group is P4/mmm (No. 123) and the conventional cell measures 5.0012, 5.0012 and 5.8109 Å, with angles of 90.00, 90.00 and 90.00 degrees. The inequivalent atoms are Mn at (0.0000, 0.0000, 0.0000), Cr at (0.5000, 0.5000, 0.5000), Sb at (0.0000, 0.5000, 0.0000) and I at (0.0000, 0.0000, 0.5000).

=====

Record 4
DFT (PBE) results for an optimized crystal structure of MnCrTc2I.

The value obtained for the volume is 18.8 Å³ per atom. The value obtained for the total magnetization is 0.28 μB per cell. The formation energy without anion corrections comes out at 9.26 eV per formula unit. For the total energy, the calculation gives -6.363 eV/atom.

The space group is P4/mmm (No. 123) and the conventional cell measures 4.3967, 4.3967 and 4.8502 Å, with angles of 90.00, 90.00 and 90.00 degrees. The inequivalent atoms are Mn at (0.0000, 0.0000, 0.0000), Cr at (0.5000, 0.5000, 0.5000), Tc at (0.0000, 0.5000, 0.0000) and I at (0.0000, 0.0000, 0.5000).

=====

Record 5
DFT (PBE) results for an optimized crystal structure of CrMo2I.

The value obtained for the volume is 16.3 Å³ per atom. The value obtained for the total magnetization is 6.66 μB per cell. The excess energy over the best structure of this formula in the dataset comes out at 0.00 eV per formula unit. The formation energy without anion corrections comes out at 3.44 eV per formula unit. For the total energy, the calculation gives -7.350 eV/atom.

The space group is Fm-3m (No. 225) and the conventional cell measures 6.3919, 6.3919 and 6.3919 Å, with angles of 90.00, 90.00 and 90.00 degrees. The inequivalent atoms are Cr at (0.0000, 0.0000, 0.0000), Mo at (0.2500, 0.2500, 0.2500) and I at (0.0000, 0.0000, 0.5000).

=====

Record 6
DFT (PBE) results for an optimized crystal structure of CrMo3I.

The value obtained for the volume is 19.4 Å³ per atom. The value obtained for the total magnetization is 0.00 μB per cell. The excess energy over the best structure of this formula in the dataset comes out at 0.00 eV per formula unit. The formation energy without anion corrections comes out at 7.42 eV per formula unit. For the total energy, the calculation gives -7.248 eV/atom.

The space group is Pm-3m (No. 221) and the conventional cell measures 4.5935, 4.5935 and 4.5935 Å, with angles of 90.00, 90.00 and 90.00 degrees. The inequivalent atoms are Cr at (0.0000, 0.0000, 0.0000), Mo at (0.0000, 0.0000, 0.5000) and I at (0.5000, 0.5000, 0.5000).

=====

Record 7
DFT (PBE) results for an optimized crystal structure of CrMoI2.

The value obtained for the volume is 18.7 Å³ per atom. The value obtained for the total magnetization is 0.00 μB per cell. The excess energy over the best structure of this formula in the dataset comes out at 0.00 eV per formula unit. The formation energy without anion corrections comes out at 4.66 eV per formula unit. For the total energy, the calculation gives -4.724 eV/atom.

The space group is Fm-3m (No. 225) and the conventional cell measures 6.6857, 6.6857 and 6.6857 Å, with angles of 90.00, 90.00 and 90.00 degrees. The inequivalent atoms are Cr at (0.0000, 0.0000, 0.0000), Mo at (0.0000, 0.0000, 0.5000) and I at (0.2500, 0.2500, 0.2500).

=====

Record 8
DFT (PBE) results for an optimized crystal structure of Cr2MoI.

The value obtained for the volume is 15.2 Å³ per atom. The value obtained for the total magnetization is 4.40 μB per cell. The formation energy without anion corrections comes out at 4.29 eV per formula unit. For the total energy, the calculation gives -6.835 eV/atom.

The space group is Fm-3m (No. 225) and the conventional cell measures 6.2381, 6.2381 and 6.2381 Å, with angles of 90.00, 90.00 and 90.00 degrees. The inequivalent atoms are Cr at (0.2500, 0.2500, 0.2500), Mo at (0.0000, 0.0000, 0.0000) and I at (0.0000, 0.0000, 0.5000).

=====

Record 9
DFT (PBE) results for an optimized crystal structure of CrMoI2.

The value obtained for the volume is 26.5 Å³ per atom. The value obtained for the total magnetization is 0.04 μB per cell. The excess energy over the best structure of this formula in the dataset comes out at 0.54 eV per formula unit. The formation energy without anion corrections comes out at 5.20 eV per formula unit. For the total energy, the calculation gives -4.590 eV/atom.

The space group is I-42d (No. 122) and the conventional cell measures 6.0999, 6.0999 and 11.3961 Å, with angles of 90.00, 90.00 and 90.00 degrees. The inequivalent atoms are Cr at (0.0000, 0.0000, 0.0000), Mo at (0.0000, 0.0000, 0.5000) and I at (0.2326, 0.2500, 0.1250).

=====

Record 10
DFT (PBE) results for an optimized crystal structure of CrMo2I.

The value obtained for the volume is 18.6 Å³ per atom. The value obtained for the total magnetization is 11.18 μB per cell. The excess energy over the best structure of this formula in the dataset comes out at 0.86 eV per formula unit. The formation energy without anion corrections comes out at 4.30 eV per formula unit. For the total energy, the calculation gives -7.133 eV/atom.

The space group is I-42d (No. 122) and the conventional cell measures 3.7935, 3.7935 and 20.6280 Å, with angles of 90.00, 90.00 and 90.00 degrees. The inequivalent atoms are Cr at (0.0000, 0.0000, 0.0000), Mo at (0.2328, 0.2500, 0.1250) and I at (0.0000, 0.0000, 0.5000).

=====

Record 11
DFT (PBE) results for an optimized crystal structure of CrMo2OsI.

The value obtained for the volume is 19.1 Å³ per atom. The value obtained for the total magnetization is 0.00 μB per cell. The formation energy without anion corrections comes out at 8.08 eV per formula unit. For the total energy, the calculation gives -7.197 eV/atom.

The space group is P4/mmm (No. 123) and the conventional cell measures 4.5723, 4.5723 and 4.5641 Å, with angles of 90.00, 90.00 and 90.00 degrees. The inequivalent atoms are Cr at (0.0000, 0.0000, 0.0000), Mo at (0.0000, 0.5000, 0.0000), Os at (0.0000, 0.0000, 0.5000) and I at (0.5000, 0.5000, 0.5000).

=====

Record 12
DFT (PBE) results for an optimized crystal structure of Rb2CrMoI6.

The value obtained for the volume is 39.1 Å³ per atom. The value obtained for the total magnetization is 16.00 μB per cell. The formation energy without anion corrections comes out at -5.87 eV per formula unit. For the total energy, the calculation gives -3.756 eV/atom.

The space group is I4/mmm (No. 139) and the conventional cell measures 8.2048, 8.2048 and 11.6206 Å, with angles of 90.00, 90.00 and 90.00 degrees. The inequivalent atoms are Rb at (0.0000, 0.5000, 0.2500), Cr at (0.0000, 0.0000, 0.0000), Mo at (0.0000, 0.0000, 0.5000), I at (0.0000, 0.0000, 0.2524) and I at (0.2482, 0.2482, 0.5000).

=====

Which formula does entry 5 have? CrMo2I